Density functional theory data (PBE-GGA) for a relaxed structure of LaTc.

a b c (Å): 3.3943 4.1843 7.1305
angles (deg): 90.00 90.00 90.00
With the nearest neighbours (Å) after each atom.
Positions (direct):
La 0.2500 0.2500 0.2155  1 Tc 2.43
La 0.7500 0.7500 0.7845  1 Tc 2.43
Tc 0.2500 0.2500 0.5558  1 La 2.43
Tc 0.7500 0.7500 0.4442  1 La 2.43

Density ... 7.77 g/cm3
Energy relative to the elements ... 0.50 eV/f.u.
Total magnetization ... 0.00 μB per cell



Density functional theory data (PBE-GGA) for a relaxed structure of La5Tc.

a b c (Å): 6.3747 6.3747 5.2045
angles (deg): 90.00 90.00 120.00
With the nearest neighbours (Å) after each atom.
Positions (direct):
La 0.0000 0.7142 0.0000  6 La 3.16-3.47, 2 Tc 3.18
La 0.2858 0.2858 0.0000  6 La 3.16-3.47, 2 Tc 3.18
La 0.3333 0.6667 0.5000  9 La 3.47-3.68, 3 Tc 3.68
La 0.6667 0.3333 0.5000  9 La 3.47-3.68, 3 Tc 3.68
La 0.7142 0.0000 0.0000  6 La 3.16-3.47, 2 Tc 3.18
Tc 0.0000 0.0000 0.5000  6 La 3.18

Density ... 7.19 g/cm3
Energy relative to the elements ... 1.42 eV/f.u.
Total magnetization ... 0.00 μB per cell



Density functional theory data (PBE-GGA) for a relaxed structure of LaTc2.

a b c (Å): 7.5296 7.5296 3.1720
angles (deg): 90.00 90.00 139.00
With the nearest neighbours (Å) after each atom.
Positions (direct):
La 0.1024 0.8976 0.7500  8 Tc 2.96-3.12, 4 La 3.17-3.29
La 0.8976 0.1024 0.2500  8 Tc 2.96-3.12, 4 La 3.17-3.29
Tc 0.2797 0.7203 0.2500  2 Tc 2.62
Tc 0.4272 0.5728 0.7500  4 Tc 2.60-2.62
Tc 0.5728 0.4272 0.2500  4 Tc 2.60-2.62
Tc 0.7203 0.2797 0.7500  2 Tc 2.62

Density ... 9.43 g/cm3
Energy relative to the elements ... 1.35 eV/f.u.
Total magnetization ... 0.00 μB per cell



Density functional theory data (PBE-GGA) for a relaxed structure of LaTc.

a b c (Å): 3.5558 3.5558 3.5558
angles (deg): 90.00 90.00 90.00
With the nearest neighbours (Å) after each atom.
Positions (direct):
La 0.0000 0.0000 0.0000  8 Tc 3.08
Tc 0.5000 0.5000 0.5000  8 La 3.08

Density ... 8.75 g/cm3
Energy relative to the elements ... 0.85 eV/f.u.
Total magnetization ... 0.22 μB per cell



Density functional theory data (PBE-GGA) for a relaxed structure of LaTc2.

a b c (Å): 4.1935 4.1935 8.3600
angles (deg): 90.00 90.00 120.00
With the nearest neighbours (Å) after each atom.
Positions (direct):
La 0.0000 0.0000 0.2500  6 Tc 2.97
La 0.0000 0.0000 0.7500  6 Tc 2.97
Tc 0.3333 0.6667 0.0448  3 Tc 2.53
Tc 0.3333 0.6667 0.4552  3 Tc 2.53
Tc 0.6667 0.3333 0.5448  3 Tc 2.53
Tc 0.6667 0.3333 0.9552  3 Tc 2.53

Density ... 8.74 g/cm3
Energy relative to the elements ... 0.45 eV/f.u.
Total magnetization ... 0.00 μB per cell



Density functional theory data (PBE-GGA) for a relaxed structure of LaTc2.

a b c (Å): 6.5250 6.5250 6.5250
angles (deg): 90.00 90.00 90.00
With the nearest neighbours (Å) after each atom.
Positions (direct):
La 0.0000 0.0000 0.0000  6 Tc 2.77
La 0.0000 0.5000 0.5000  6 Tc 2.77
La 0.5000 0.0000 0.5000  6 Tc 2.77
La 0.5000 0.5000 0.0000  6 Tc 2.77
Tc 0.0999 0.5999 0.9001  1 Tc 2.26
Tc 0.0999 0.9001 0.4001  1 Tc 2.26
Tc 0.4001 0.0999 0.9001  1 Tc 2.26
Tc 0.4001 0.4001 0.4001  1 Tc 2.26
Tc 0.5999 0.5999 0.5999  1 Tc 2.26
Tc 0.5999 0.9001 0.0999  1 Tc 2.26
Tc 0.9001 0.0999 0.5999  1 Tc 2.26
Tc 0.9001 0.4001 0.0999  1 Tc 2.26

Density ... 8.01 g/cm3
Energy relative to the elements ... 4.30 eV/f.u.
Total magnetization ... 0.00 μB per cell



Density functional theory data (PBE-GGA) for a relaxed structure of LaTc5.

a b c (Å): 3.0702 3.0702 10.9850
angles (deg): 90.00 90.00 90.00
With the nearest neighbours (Å) after each atom.
Positions (direct):
La 0.0000 0.0000 0.0000  4 La 3.07, 8 Tc 3.25
Tc 0.0000 0.0000 0.3455  8 Tc 2.57-2.76
Tc 0.0000 0.0000 0.6545  8 Tc 2.57-2.76
Tc 0.5000 0.5000 0.2206  4 Tc 2.57
Tc 0.5000 0.5000 0.5000  14 Tc 2.76-3.07
Tc 0.5000 0.5000 0.7794  4 Tc 2.57

Density ... 10.09 g/cm3
Energy relative to the elements ... 1.48 eV/f.u.
Total magnetization ... 0.00 μB per cell



Density functional theory data (PBE-GGA) for a relaxed structure of LaTc2.

a b c (Å): 4.9239 4.9239 5.4846
angles (deg): 90.00 90.00 120.00
With the nearest neighbours (Å) after each atom.
Positions (direct):
La 0.3333 0.6667 0.2500  5 Tc 2.74-2.84
La 0.6667 0.3333 0.7500  5 Tc 2.74-2.84
Tc 0.0000 0.0000 0.0000  2 Tc 2.74
Tc 0.0000 0.0000 0.5000  2 Tc 2.74
Tc 0.3333 0.6667 0.7500  5 La 2.74-2.84
Tc 0.6667 0.3333 0.2500  5 La 2.74-2.84

Density ... 9.66 g/cm3
Energy relative to the elements ... 2.21 eV/f.u.
Total magnetization ... 1.56 μB per cell



no.,D(E_F) (states/eV/f.u.),energy relative to the lowest polymorph listed for this composition (eV per atom)
1,1.7,0.217
2,10.0,0.178
3,3.5,0.412
4,4.0,0.392
5,1.7,0.112
6,3.6,1.394
7,7.4,0.040
8,5.3,0.698